Compound: PrTh3C8
Source: the Alexandria database
Functional: GGA-PBE
Structure: optimized geometry

abc: 6.451 6.452 6.451
angles: 65.63 79.95 114.37
Atoms (fractional coordinates):
Pr: 0.001 0.000 0.999
Th: 0.750 0.500 0.750
Th: 0.250 0.500 0.250
Th: 0.500 0.000 0.500
C: 0.093 0.000 0.573
C: 0.573 0.667 0.427
C: 0.906 0.333 0.094
C: 0.427 0.000 0.907
C: 0.884 0.000 0.605
C: 0.607 0.492 0.393
C: 0.115 0.508 0.885
C: 0.395 0.000 0.116

Calculated values
energy of formation: 0.09 eV/atom